# NiBiP3 | Alexandria via LeMat-Bulk | GGA-PBE | optimized geometry
data_NiBiP3
_chemical_formula_sum 'Ni2 Bi2 P6'
_cell_length_a 5.759
_cell_length_b 3.378
_cell_length_c 10.667
_cell_angle_alpha 90.00
_cell_angle_beta 90.71
_cell_angle_gamma 90.00
_symmetry_space_group_name_H-M 'C 1 m 1'
_symmetry_Int_Tables_number 8
loop_
_symmetry_equiv_pos_as_xyz
'x,y,z'
'x,-y,z'
'x+1/2,y+1/2,z'
'x+1/2,-y+1/2,z'
loop_
_atom_site_label
_atom_site_type_symbol
_atom_site_fract_x
_atom_site_fract_y
_atom_site_fract_z
Ni1 Ni 0.000 0.000 0.000
Bi1 Bi 0.175 0.500 0.348
P1 P 0.167 0.500 0.092
P2 P 0.329 0.000 0.678
P3 P 0.497 0.500 0.792
# energy above the most stable polymorph in this dataset	32.7	meV per atom
# N(E_F)	4.72	states/eV per cell
# calculated volume	207.5	Å³ per cell
# E_form	-0.050	eV per atom
# E	-26.144	eV/f.u.